Computed, not measured: a relaxed CeNi2Pt crystal at the PBE level of DFT.

Lattice parameters (Å, degrees): 4.3547 4.3547 4.9572 63.95 63.95 60.00
With the nearest neighbours (Å) after each atom.
Fractional coordinates of all 4 atoms:
Ni: 0.8046 0.8046 0.5862  1 Ce 2.50, 3 Pt 2.54, 3 Ni 2.62
Ni: 0.1954 0.1954 0.4138  1 Ce 2.50, 3 Pt 2.54, 3 Ni 2.62
Ce: 0.0000 0.0000 0.0000  2 Ni 2.50
Pt: 0.5000 0.5000 0.5000  6 Ni 2.54

Energy of formation: -0.540 eV/atom
Spin magnetization: 0.17 μB per formula unit
Volume: 17.54 Å³/atom
Crystal system: trigonal
N(E_F): 4.736 states/eV/cell